Density functional theory data (GGA-PBE) for a relaxed CsAgTe3Se crystal.

DFT total energy: -2.9841 eV/atom

Cell and atoms, written as POSCAR:
```
CsAgTe3Se
1.0
9.4228 0.0000 0.0000
0.0000 4.3894 0.0000
-4.2530 0.0000 10.1528
Cs Ag Te Se
2 2 6 2
Direct
0.2443 0.2500 0.2964
0.7557 0.7500 0.7036
0.0640 0.2500 0.5997
0.9360 0.7500 0.4003
0.1277 0.2500 0.8802
0.2527 0.7500 0.5804
0.4768 0.7500 0.1467
0.5232 0.2500 0.8533
0.7473 0.2500 0.4196
0.8723 0.7500 0.1198
0.3275 0.7500 0.8746
0.6725 0.2500 0.1254
```

***

Density functional theory data (GGA-PBE) for a relaxed Pr2SbTe crystal.

DFT total energy: -5.5604 eV/atom

Cell and atoms, written as POSCAR:
```
Pr2SbTe
1.0
4.5411 0.0000 0.0000
0.0000 4.5411 0.0000
0.0000 0.0000 6.4184
Pr Sb Te
2 1 1
Direct
0.0000 0.0000 0.0000
0.5000 0.5000 0.5000
0.0000 0.0000 0.5000
0.5000 0.5000 0.0000
```